An optimized crystal structure of La2ZnFeTe. Source: Alexandria via LeMat-Bulk, functional PBE-GGA.

Cell lengths 5.192, 5.192, 4.727 Å; angles 90.00, 90.00, 90.00 degrees
Positions (direct):
La  0.000  0.500  0.000
La  0.500  0.000  0.000
Zn  0.000  0.000  0.500
Fe  0.000  0.000  0.000
Te  0.500  0.500  0.500

## Properties
As for the space-group type: P4/mmm. The value obtained for the formation energy (no corrections) is -0.579 eV per atom. As for the calculated total energy: -0.18835 Ha/atom. The value obtained for the density is 6861 kg/m3. The magnetic moment is 0.2 μB/f.u.